Entry 1:
V3Ge2 | the Alexandria database | GGA-PBE | optimized geometry; ΔH_f (0 K) = -229.0 meV/atom; DOS at the Fermi energy = 11.86 states/eV/cell; calculated density = 6.7 g/cm³
1.0
9.864 0.000 0.000
0.000 3.312 0.000
0.000 0.000 9.017
V Ge
12 8
Direct
0.035 0.250 0.107
0.123 0.750 0.588
0.196 0.250 0.785
0.304 0.750 0.285
0.377 0.250 0.088
0.465 0.750 0.607
0.535 0.250 0.393
0.623 0.750 0.912
0.696 0.250 0.715
0.804 0.750 0.215
0.877 0.250 0.412
0.965 0.750 0.893
0.049 0.750 0.321
0.205 0.750 0.999
0.295 0.250 0.499
0.451 0.250 0.821
0.549 0.750 0.179
0.705 0.750 0.501
0.795 0.250 0.001
0.951 0.250 0.679

Entry 2:
Li5SiAg | the Alexandria database | GGA-PBE | optimized geometry; formation energy from raw total energies = -0.113 eV per atom; DOS at the Fermi energy = 4.97 states/eV/cell; calculated density = 2.5 g/cm³
1.0
3.263 -3.716 0.000
3.263 3.716 0.000
-3.060 0.000 9.224
Li Si Ag
10 2 2
Direct
0.018 0.560 0.161
0.108 0.892 0.750
0.245 0.525 0.461
0.440 0.982 0.339
0.475 0.755 0.039
0.525 0.245 0.961
0.560 0.018 0.661
0.755 0.475 0.539
0.892 0.108 0.250
0.982 0.440 0.839
0.459 0.541 0.750
0.541 0.459 0.250
0.000 0.000 0.000
0.000 0.000 0.500

Entry 3:
TiV2HRu | the Alexandria database | GGA-PBE | optimized geometry; DOS at the Fermi energy = 4.49 states/eV/cell; uncorrected energy = -39.7 eV/cell; calculated density = 7.0 g/cm³
1.0
3.640 0.000 0.000
0.000 3.640 0.000
0.000 0.000 4.483
Ti V H Ru
1 2 1 1
Direct
0.000 0.000 0.000
0.000 0.500 0.500
0.500 0.000 0.500
0.000 0.000 0.500
0.500 0.500 0.000

Entry 4:
Be2TcIBr | the Alexandria database | GGA-PBE | optimized geometry; formation energy from raw total energies = 1.566 eV per atom; DOS at the Fermi energy = 3.61 states/eV/cell; calculated density = 5.2 g/cm³
1.0
4.541 0.000 0.000
0.000 4.541 0.000
0.000 0.000 4.984
Be Tc I Br
2 1 1 1
Direct
0.000 0.500 0.000
0.500 0.000 0.000
0.000 0.000 0.500
0.500 0.500 0.500
0.000 0.000 0.000

Entry 5:
RbNaPPd | the Alexandria database | GGA-PBE | optimized geometry; ΔH_f (0 K) = -300.1 meV/atom; DOS at the Fermi energy = 4.39 states/eV/cell; calculated density = 3.3 g/cm³
1.0
2.098 1.211 8.013
-2.098 1.211 8.013
0.000 -2.423 8.013
Rb Na P Pd
1 1 1 1
Direct
0.000 0.000 0.000
0.827 0.827 0.827
0.231 0.231 0.231
0.564 0.564 0.564

Entry 6:
Nd3Dy6Sc2 | the Alexandria database | GGA-PBE | optimized geometry; ΔH_f (0 K) = 39.6 meV/atom; DOS at the Fermi energy = 13.98 states/eV/cell; calculated density = 7.3 g/cm³
1.0
1.771 1.022 31.468
-1.771 1.022 31.468
0.000 -2.045 31.468
Nd Dy Sc
3 6 2
Direct
0.000 0.000 0.000
0.271 0.271 0.271
0.729 0.729 0.729
0.094 0.094 0.094
0.182 0.182 0.182
0.365 0.365 0.365
0.635 0.635 0.635
0.818 0.818 0.818
0.906 0.906 0.906
0.456 0.456 0.456
0.544 0.544 0.544

Entry 7:
LiCe4S5 | the Alexandria database | GGA-PBE | optimized geometry; formation energy from raw total energies = -1.904 eV per atom; DOS at the Fermi energy = 21.05 states/eV/cell; calculated density = 5.3 g/cm³
1.0
-4.471 4.471 2.830
4.471 -4.471 2.830
4.471 4.471 -2.830
Li Ce S
1 4 5
Direct
0.000 0.000 0.000
0.198 0.598 0.799
0.399 0.198 0.600
0.598 0.799 0.400
0.799 0.399 0.201
0.096 0.290 0.390
0.290 0.900 0.194
0.498 0.498 0.000
0.706 0.096 0.806
0.900 0.706 0.610

Entry 8:
CsAgPd | the Alexandria database | GGA-PBE | optimized geometry; ΔH_f (0 K) = 89.8 meV/atom; calculated density = 5.2 g/cm³
1.0
6.485 0.000 0.000
0.000 4.604 0.000
-1.717 0.000 7.462
Cs Ag Pd
2 2 2
Direct
0.192 0.250 0.259
0.808 0.750 0.741
0.280 0.250 0.755
0.720 0.750 0.245
0.406 0.750 0.935
0.594 0.250 0.065

Entry 9:
SrCaEuSbO6 | the Alexandria database | GGA-PBE | optimized geometry; formation energy from raw total energies = -2.395 eV per atom; DOS at the Fermi energy = 15.53 states/eV/cell; calculated density = 5.7 g/cm³
1.0
5.853 0.000 0.000
0.000 5.853 0.000
0.000 0.000 8.511
Sr Ca Eu Sb O
2 2 2 2 12
Direct
0.000 0.500 0.250
0.500 0.000 0.750
0.000 0.500 0.750
0.500 0.000 0.250
0.000 0.000 0.000
0.500 0.500 0.500
0.000 0.000 0.500
0.500 0.500 0.000
0.000 0.000 0.265
0.000 0.000 0.735
0.158 0.305 0.510
0.195 0.342 0.990
0.305 0.842 0.490
0.342 0.805 0.010
0.500 0.500 0.235
0.500 0.500 0.765
0.658 0.195 0.010
0.695 0.158 0.490
0.805 0.658 0.990
0.842 0.695 0.510

Entry 10:
Tb2DyTe3 | the Alexandria database | GGA-PBE | optimized geometry; formation energy from raw total energies = -1.298 eV per atom; DOS at the Fermi energy = 2.87 states/eV/cell; calculated density = 8.1 g/cm³
1.0
-2.197 3.076 6.524
2.197 -3.076 6.524
2.197 3.076 -6.524
Tb Dy Te
2 1 3
Direct
0.169 0.169 0.000
0.831 0.831 0.000
0.500 0.500 0.000
0.000 0.500 0.500
0.335 0.835 0.500
0.665 0.165 0.500

Entry 11:
MgBeCo2 | the Alexandria database | GGA-PBE | optimized geometry; ΔH_f (0 K) = 190.6 meV/atom; DOS at the Fermi energy = 3.28 states/eV/cell; calculated density = 5.4 g/cm³
1.0
2.487 -3.882 0.000
2.487 3.882 0.000
-0.760 0.000 2.410
Mg Be Co
1 1 2
Direct
0.000 0.000 0.000
0.500 0.500 0.000
0.000 0.500 0.500
0.500 0.000 0.500

Entry 12:
UAlCu2 | the Alexandria database | GGA-PBE | optimized geometry; ΔH_f (0 K) = -35.6 meV/atom; DOS at the Fermi energy = 4.39 states/eV/cell; calculated density = 10.6 g/cm³
1.0
2.827 0.000 0.000
0.000 2.827 0.000
0.000 0.000 7.658
U Al Cu
1 1 2
Direct
0.000 0.000 0.000
0.000 0.000 0.500
0.500 0.500 0.294
0.500 0.500 0.706

Question: Look up the calculated density of the fourth one.
Answer: 5.2 g/cm³